No. 1
TlTeSe2 | PBE-GGA | relaxed

Raw formation energy (eV/atom): 0.1712
Raw total energy (eV/atom): -2.948

a = 5.2249 Å, b = 5.2249 Å, c = 5.2249 Å
α = 60.00°, β = 60.00°, γ = 60.00°
Last column: nearest neighbours and their distance in Å.
Element x y z (fractional)
Se1 0.2500 0.2500 0.2500  4 Tl 3.20, 4 Te 3.20
Tl1 0.5000 0.5000 0.5000  8 Se 3.20
Se2 0.7500 0.7500 0.7500  4 Te 3.20, 4 Tl 3.20
Te1 0.0000 0.0000 0.0000  8 Se 3.20

---

No. 2
TlTeSe | PBE-GGA | relaxed

Raw formation energy (eV/atom): -0.0571
Raw total energy (eV/atom): -3.055

a = 6.6769 Å, b = 6.6769 Å, c = 6.6769 Å
α = 143.91°, β = 143.91°, γ = 51.96°
Last column: nearest neighbours and their distance in Å.
Element x y z (fractional)
Te1 0.3909 0.3909 0.0000  4 Se 2.96
Tl1 0.6778 0.6778 0.0000  1 Se 3.04
Se1 0.9312 0.9312 0.0000  4 Te 2.96, 1 Tl 3.04

---

No. 3
TlTeSe | PBE-GGA | relaxed

Raw formation energy (eV/atom): 0.0880
Raw total energy (eV/atom): -2.909

a = 5.6528 Å, b = 5.6528 Å, c = 3.0931 Å
α = 90.00°, β = 90.00°, γ = 120.00°
Last column: nearest neighbours and their distance in Å.
Element x y z (fractional)
Se1 0.0000 0.0000 0.1668  2 Se 3.09, 3 Te 3.26
Tl1 0.3333 0.6667 0.6669  2 Tl 3.09
Te1 0.6667 0.3333 0.1664  2 Te 3.09, 3 Se 3.26

---

No. 4
TlTe2Se | PBE-GGA | relaxed

Raw formation energy (eV/atom): 0.2051
Raw total energy (eV/atom): -2.828

a = 3.5256 Å, b = 3.5256 Å, c = 8.9626 Å
α = 90.00°, β = 90.00°, γ = 90.00°
Last column: nearest neighbours and their distance in Å.
Element x y z (fractional)
Tl1 0.5000 0.5000 0.2500  4 Tl 3.53, 8 Te 3.57
Te1 0.0000 0.0000 0.5357  4 Se 3.15
Se1 0.5000 0.5000 0.7500  8 Te 3.15
Te2 0.0000 0.0000 0.9643  4 Se 3.15